Computed, not measured: crystalline ZrNiHgBi2 at its relaxed geometry at the GGA-PBE level of DFT.

Calculated values
DFT formation energy   0.271 eV per atom
Fermi-level density of states   0.702 states/eV/atom
Mass density   9.85 g/cm³

Cell lengths 5.060, 5.060, 5.060 Å; angles 90.00, 90.00, 90.00 degrees
Space group P4/mmm (No. 123)
Unique sites:
Zr: 0.000 0.000 0.000 [1 per cell]
Ni: 0.000 0.000 0.500 [1 per cell]
Hg: 0.500 0.500 0.000 [1 per cell]
Bi: 0.000 0.500 0.500 [2 per cell]